Below is an optimized crystal structure of HfPa2Ga, with properties calculated at the PBE level.

a = 4.2748 Å, b = 4.2748 Å, c = 4.8164 Å
α = 90.00°, β = 90.00°, γ = 90.00°
Element x y z (fractional)
Hf 0.0000 0.0000 0.0000
Pa 0.0000 0.5000 0.5000
Pa 0.5000 0.0000 0.5000
Ga 0.5000 0.5000 0.0000

Computed properties:
- SG: P4/mmm, No. 123
- Energy of formation: -169 meV/atom
- Energy above the most stable polymorph in this dataset: 0 meV/atom

=====

Below is an optimized crystal structure of TaTl2Br7, with properties calculated at the PBE level.

a = 9.5348 Å, b = 9.5348 Å, c = 12.9785 Å
α = 121.71°, β = 121.71°, γ = 52.32°
Element x y z (fractional)
Ta 0.2238 0.7762 0.7500
Ta 0.7762 0.2238 0.2500
Tl 0.1388 0.6289 0.9668
Tl 0.3711 0.8612 0.5332
Tl 0.6289 0.1388 0.4668
Tl 0.8612 0.3711 0.0332
Br 0.0255 0.3164 0.3185
Br 0.0884 0.7587 0.5119
Br 0.1078 0.8922 0.2500
Br 0.2413 0.9116 0.9881
Br 0.3164 0.0255 0.8185
Br 0.4208 0.4658 0.8126
Br 0.4658 0.4208 0.3126
Br 0.5342 0.5792 0.6874
Br 0.5792 0.5342 0.1874
Br 0.6836 0.9745 0.1815
Br 0.7587 0.0884 0.0119
Br 0.8922 0.1078 0.7500
Br 0.9116 0.2413 0.4881
Br 0.9745 0.6836 0.6815

Computed properties:
- SG: C2/c, No. 15
- Formation energy without anion corrections: -0.787 eV per atom

=====

Below is an optimized crystal structure of Dy6BiTe3, with properties calculated at the PBE level.

a = 12.1972 Å, b = 4.1325 Å, c = 12.5501 Å
α = 90.00°, β = 104.98°, γ = 90.00°
Element x y z (fractional)
Dy 0.0157 0.2500 0.3551
Dy 0.0765 0.2500 0.8833
Dy 0.2515 0.7500 0.3006
Dy 0.2865 0.7500 0.7680
Dy 0.3788 0.2500 0.5417
Dy 0.4579 0.7500 0.1212
Dy 0.5421 0.2500 0.8788
Dy 0.6212 0.7500 0.4583
Dy 0.7135 0.2500 0.2320
Dy 0.7485 0.2500 0.6994
Dy 0.9235 0.7500 0.1167
Dy 0.9843 0.7500 0.6449
Bi 0.4533 0.2500 0.3115
Bi 0.5467 0.7500 0.6885
Te 0.1127 0.2500 0.1415
Te 0.1751 0.7500 0.5155
Te 0.3320 0.2500 0.9580
Te 0.6680 0.7500 0.0420
Te 0.8249 0.2500 0.4845
Te 0.8873 0.7500 0.8585

Computed properties:
- SG: P2_1/m, No. 11
- Formation energy without anion corrections: -0.890 eV per atom

=====

Below is an optimized crystal structure of Tb6P3SeS2, with properties calculated at the PBE level.

a = 8.9873 Å, b = 8.9873 Å, c = 8.0421 Å
α = 103.35°, β = 103.35°, γ = 25.74°
Element x y z (fractional)
Tb 0.0015 0.0015 0.2371
Tb 0.3284 0.3284 0.4205
Tb 0.3350 0.3350 0.9121
Tb 0.6650 0.6650 0.0879
Tb 0.6716 0.6716 0.5795
Tb 0.9985 0.9985 0.7629
P 0.1658 0.1658 0.3323
P 0.5000 0.5000 0.0000
P 0.8342 0.8342 0.6677
Se 0.5000 0.5000 0.5000
S 0.1672 0.1672 0.8334
S 0.8328 0.8328 0.1666

Computed properties:
- SG: C2/m, No. 12
- Formation energy without anion corrections: -1.846 eV per atom

=====

Raw total energy / eV/atom: -8.16 -3.62 -4.98 -6.49